{
  "formula": "Sc4CdRhAu2",
  "functional": "PBE",
  "state": "optimized geometry",
  "density_kg_m3": 8382,
  "total_magnetization_mub_per_cell": 0.000,
  "delta_e_f_ev_per_atom": -0.716,
  "sg": "R-3m (166)",
  "lattice": [[4.8065, 0.0000, 0.0000], [2.4032, 4.1625, 0.0000], [2.4032, 1.3875, 7.8133]],
  "species": ["Cd", "Sc", "Sc", "Sc", "Sc", "Au", "Au", "Rh"],
  "frac_coords": [[0.0000, 0.0000, 0.0000], [0.3841, 0.3841, 0.8476], [0.8683, 0.8683, 0.3950], [0.1317, 0.1317, 0.6050], [0.6159, 0.6159, 0.1524], [0.2581, 0.2581, 0.2257], [0.7419, 0.7419, 0.7743], [0.5000, 0.5000, 0.5000]]
}



{
  "formula": "Rb2Hg3SbPb4",
  "functional": "PBE",
  "state": "optimized geometry",
  "density_kg_m3": 8084,
  "total_magnetization_mub_per_cell": 0.000,
  "e_form_raw_ev_per_atom": -0.112,
  "sg": "P-4m2 (115)",
  "lattice": [[5.3394, 0.0000, 0.0000], [0.0000, 5.3394, 0.0000], [0.0000, 0.0000, 12.4161]],
  "species": ["Hg", "Hg", "Hg", "Rb", "Rb", "Pb", "Pb", "Pb", "Pb", "Sb"],
  "frac_coords": [[0.5000, 0.0000, 0.8707], [0.0000, 0.0000, 0.5000], [0.0000, 0.5000, 0.1293], [0.5000, 0.0000, 0.2602], [0.0000, 0.5000, 0.7398], [0.0000, 0.0000, 0.0000], [0.0000, 0.5000, 0.3723], [0.5000, 0.0000, 0.6277], [0.5000, 0.5000, 0.0000], [0.5000, 0.5000, 0.5000]]
}



{
  "formula": "BaCo2",
  "functional": "PBE",
  "state": "optimized geometry",
  "density_kg_m3": 6737,
  "total_magnetization_mub_per_cell": 2.969,
  "delta_e_f_ev_per_atom": 0.534,
  "sg": "I4/mmm (139)",
  "lattice": [[6.0582, -0.0080, 0.0000], [4.2010, 4.3650, 0.0000], [-5.1296, -2.1785, 2.3755]],
  "species": ["Co", "Co", "Ba"],
  "frac_coords": [[0.2679, 0.2679, 0.0000], [0.7321, 0.7321, 0.0000], [0.0000, 0.0000, 0.0000]]
}



{
  "formula": "Sn2HgH",
  "functional": "PBE",
  "state": "optimized geometry",
  "density_kg_m3": 8600,
  "total_magnetization_mub_per_cell": 0.000,
  "polymorph_energy_mev_per_atom": 89.8,
  "sg": "Fm-3m (225)",
  "lattice": [[0.0000, 3.4865, 3.4865], [3.4865, 0.0000, 3.4865], [3.4865, 3.4865, 0.0000]],
  "species": ["Hg", "H", "Sn", "Sn"],
  "frac_coords": [[0.5000, 0.5000, 0.5000], [0.0000, 0.0000, 0.0000], [0.7500, 0.7500, 0.7500], [0.2500, 0.2500, 0.2500]]
}



{
  "formula": "KCa4Fe",
  "functional": "PBE",
  "state": "optimized geometry",
  "density_kg_m3": 1648,
  "total_magnetization_mub_per_cell": 3.064,
  "delta_e_f_ev_per_atom": 0.742,
  "sg": "F-43m (216)",
  "lattice": [[0.0000, 5.0473, 5.0473], [5.0473, 0.0000, 5.0473], [5.0473, 5.0473, 0.0000]],
  "species": ["Fe", "Ca", "Ca", "Ca", "Ca", "K"],
  "frac_coords": [[0.7500, 0.7500, 0.7500], [0.3756, 0.3756, 0.8731], [0.3756, 0.8731, 0.3756], [0.8731, 0.3756, 0.3756], [0.3756, 0.3756, 0.3756], [0.0000, 0.0000, 0.0000]]
}



{
  "formula": "TiRh2Pb2",
  "functional": "PBE",
  "state": "optimized geometry",
  "density_kg_m3": 11106,
  "total_magnetization_mub_per_cell": 0.000,
  "delta_e_f_ev_per_atom": -0.063,
  "sg": "P4/mbm (127)",
  "lattice": [[-4.8978, 3.4894, -2.9432], [0.6178, -3.7703, -5.4981], [-3.0106, -2.8580, 1.6215]],
  "species": ["Rh", "Rh", "Rh", "Rh", "Pb", "Pb", "Pb", "Pb", "Ti", "Ti"],
  "frac_coords": [[0.6421, 0.1421, 0.0000], [0.1421, 0.3579, 0.0000], [0.3579, 0.8579, 0.0000], [0.8579, 0.6421, 0.0000], [0.6733, 0.8267, 0.5000], [0.3267, 0.1733, 0.5000], [0.1733, 0.6733, 0.5000], [0.8267, 0.3267, 0.5000], [0.5000, 0.5000, 0.0000], [0.0000, 0.0000, 0.0000]]
}



{
  "formula": "PmEuCoPd",
  "functional": "PBE",
  "state": "optimized geometry",
  "density_kg_m3": 8704,
  "total_magnetization_mub_per_cell": 6.401,
  "delta_e_f_ev_per_atom": -0.237,
  "sg": "F-43m (216)",
  "lattice": [[4.9965, 0.0000, 0.0000], [2.4983, 4.3271, 0.0000], [2.4983, 1.4424, 4.0797]],
  "species": ["Eu", "Co", "Pm", "Pd"],
  "frac_coords": [[0.2500, 0.2500, 0.2500], [0.5000, 0.5000, 0.5000], [0.7500, 0.7500, 0.7500], [0.0000, 0.0000, 0.0000]]
}



{
  "formula": "Ce3Np3ScS8",
  "functional": "PBE",
  "state": "optimized geometry",
  "density_kg_m3": 6866,
  "total_magnetization_mub_per_cell": 15.876,
  "e_form_raw_ev_per_atom": -1.744,
  "sg": "R-3m (166)",
  "lattice": [[-2.2049, 5.8134, 4.8215], [-3.5616, -0.9046, -6.9577], [-1.2410, -5.2539, 5.7673]],
  "species": ["S", "S", "S", "S", "S", "S", "S", "S", "Ce", "Ce", "Ce", "Sc", "Np", "Np", "Np"],
  "frac_coords": [[0.2397, 0.9940, 0.7338], [0.2542, 0.5083, 0.2625], [0.2458, 0.0060, 0.2662], [0.7542, 0.9940, 0.7338], [0.2397, 0.4795, 0.7338], [0.7603, 0.5205, 0.2662], [0.7603, 0.0060, 0.2662], [0.7458, 0.4917, 0.7375], [0.0000, 0.5000, 0.0000], [0.5000, 0.5000, 0.0000], [0.0000, 0.0000, 0.0000], [0.0000, 0.0000, 0.5000], [0.0000, 0.5000, 0.5000], [0.5000, 0.5000, 0.5000], [0.5000, 0.0000, 0.5000]]
}